(1)
Ba3CuTe | PBE | optimized geometry

abc: 6.099 6.099 6.099
angles: 90.00 90.00 90.00
Fractional coordinates of all 5 atoms:
Te  0.500  0.500  0.500
Ba  0.000  0.500  0.000
Ba  0.000  0.000  0.500
Ba  0.500  0.000  0.000
Cu  0.000  0.000  0.000

Relative energy among the computed polymorphs, meV/atom: 0

---

(2)
BaCuTe2 | PBE | optimized geometry

abc: 6.474 6.474 8.763
angles: 68.32 68.32 90.00
Fractional coordinates of all 8 atoms:
Te  0.506  0.125  0.250
Te  0.244  0.625  0.250
Te  0.375  0.494  0.750
Te  0.875  0.756  0.750
Ba  0.000  0.000  0.000
Ba  0.750  0.250  0.500
Cu  0.500  0.500  0.000
Cu  0.250  0.750  0.500

---

(3)
BaCuTe3 | PBE | optimized geometry

abc: 5.327 5.327 5.327
angles: 90.00 90.00 90.00
Fractional coordinates of all 5 atoms:
Te  0.000  0.500  0.000
Te  0.000  0.000  0.500
Te  0.500  0.000  0.000
Ba  0.500  0.500  0.500
Cu  0.000  0.000  0.000

Relative energy among the computed polymorphs, meV/atom: 0

---

(4)
BaCuTe2 | PBE | optimized geometry

abc: 6.032 6.032 6.631
angles: 56.63 56.63 40.37
Fractional coordinates of all 4 atoms:
Ba  0.750  0.750  0.750
Cu  0.250  0.250  0.250
Te  0.934  0.934  0.066
Te  0.566  0.566  0.434

---

(5)
BaCuTe2 | PBE | optimized geometry

abc: 4.566 5.030 6.569
angles: 74.32 90.00 90.00
Fractional coordinates of all 4 atoms:
Ba  0.000  0.543  0.489
Cu  0.500  0.951  0.745
Te  0.000  0.922  0.920
Te  0.500  0.084  0.346

---

(6)
BaCu4Te | PBE | optimized geometry

abc: 5.505 5.505 5.505
angles: 60.00 60.00 60.00
Fractional coordinates of all 6 atoms:
Ba  0.000  0.000  0.000
Cu  0.865  0.378  0.378
Cu  0.378  0.378  0.865
Cu  0.378  0.865  0.378
Cu  0.378  0.378  0.378
Te  0.750  0.750  0.750

---

(7)
BaCuTe4 | PBE | optimized geometry

abc: 6.476 6.476 6.476
angles: 60.00 60.00 60.00
Fractional coordinates of all 6 atoms:
Ba  0.750  0.750  0.750
Cu  0.000  0.000  0.000
Te  0.374  0.879  0.374
Te  0.879  0.374  0.374
Te  0.374  0.374  0.879
Te  0.374  0.374  0.374

---

(8)
BaCuTe3 | PBE | optimized geometry

abc: 6.497 6.497 6.497
angles: 90.00 90.00 90.00
Last column: magnetic moment on the atom in μB.
Fractional coordinates of all 5 atoms:
Te  0.000  0.500  0.000  0.58
Te  0.000  0.000  0.500  0.64
Te  0.500  0.000  0.000  0.45
Ba  0.000  0.000  0.000  0.01
Cu  0.500  0.500  0.500  -0.03

Relative energy among the computed polymorphs, meV/atom: 1273

---

Calculated total moment in order - 0.000 0.000 0.000 0.000 0.000 0.000 0.000 0.596 μB per atom
Calculated ΔE_f (raw) in order - -0.36 -0.62 -0.56 -0.65 -0.75 0.00 -0.05 0.72 eV/atom